Record 1
Below is AgHPtRhS after structural relaxation, with properties calculated at the PBE-GGA level.

Cell and atoms, written as CIF:
```
data_AgHPtRhS
_space_group_name_H-M_alt 'I 4 m m'
_space_group_IT_number 107
_space_group_name_Hall 'I 4 -2'
_cell_length_a 3.041
_cell_length_b 3.041
_cell_length_c 15.135
_cell_angle_alpha 90.00
_cell_angle_beta 90.00
_cell_angle_gamma 90.00
loop_
_atom_site_label
_atom_site_type_symbol
_atom_site_fract_x
_atom_site_fract_y
_atom_site_fract_z
Ag1 Ag 0.000 0.000 0.000
H1 H 0.000 0.000 0.522
Pt1 Pt 0.000 0.000 0.631
Rh1 Rh 0.000 0.000 0.260
S1 S 0.000 0.000 0.828
```

crystal system = tetragonal
energy relative to the lowest polymorph listed for this composition = 0.096 eV/atom

***

Record 2
Below is AgHPtRhS after structural relaxation, with properties calculated at the PBE-GGA level.

Cell and atoms, written as CIF:
```
data_AgHPtRhS
_space_group_name_H-M_alt 'C 1 m 1'
_space_group_IT_number 8
_space_group_name_Hall 'C -2y'
_cell_length_a 10.565
_cell_length_b 2.872
_cell_length_c 5.900
_cell_angle_alpha 90.00
_cell_angle_beta 121.82
_cell_angle_gamma 90.00
loop_
_atom_site_label
_atom_site_type_symbol
_atom_site_fract_x
_atom_site_fract_y
_atom_site_fract_z
Ag1 Ag 0.000 0.000 0.000
H1 H 0.368 0.500 0.451
Pt1 Pt 0.263 0.500 0.096
Rh1 Rh 0.268 0.000 0.517
S1 S 0.156 0.500 0.650
```

crystal system = monoclinic
energy relative to the lowest polymorph listed for this composition = 0.051 eV/atom

***

Record 3
Below is AgHPtRhS after structural relaxation, with properties calculated at the PBE-GGA level.

Cell and atoms, written as CIF:
```
data_AgHPtRhS
_space_group_name_H-M_alt 'P 3 m 1'
_space_group_IT_number 156
_space_group_name_Hall 'P 3 -2"'
_cell_length_a 3.2189
_cell_length_b 3.2189
_cell_length_c 8.1784
_cell_angle_alpha 90.00
_cell_angle_beta 90.00
_cell_angle_gamma 120.00
loop_
_atom_site_label
_atom_site_type_symbol
_atom_site_fract_x
_atom_site_fract_y
_atom_site_fract_z
Ag1 Ag 0.0000 0.0000 0.0000
H1 H 0.6667 0.3333 0.7160
Pt1 Pt 0.3333 0.6667 0.7313
Rh1 Rh 0.6667 0.3333 0.4636
S1 S 0.0000 0.0000 0.3099
```

crystal system = trigonal
energy relative to the lowest polymorph listed for this composition = 0.000 eV/atom

***

Record 4
Below is AgHPtRhS after structural relaxation, with properties calculated at the PBE-GGA level.

Cell and atoms, written as CIF:
```
data_AgHPtRhS
_space_group_name_H-M_alt 'P 1 m 1'
_space_group_IT_number 6
_space_group_name_Hall 'P -2y'
_cell_length_a 4.957
_cell_length_b 2.894
_cell_length_c 5.789
_cell_angle_alpha 90.00
_cell_angle_beta 113.43
_cell_angle_gamma 90.00
loop_
_atom_site_label
_atom_site_type_symbol
_atom_site_fract_x
_atom_site_fract_y
_atom_site_fract_z
Ag1 Ag 0.000 0.000 0.000
H1 H 0.336 0.500 0.604
Pt1 Pt 0.475 0.500 0.936
Rh1 Rh 0.052 0.000 0.528
S1 S 0.682 0.500 0.362
```

crystal system = monoclinic
energy relative to the lowest polymorph listed for this composition = 0.036 eV/atom

***

Record 5
Below is AgHPtRhS after structural relaxation, with properties calculated at the PBE-GGA level.

Cell and atoms, written as CIF:
```
data_AgHPtRhS
_space_group_name_H-M_alt 'C 1 m 1'
_space_group_IT_number 8
_space_group_name_Hall 'C -2y'
_cell_length_a 10.587
_cell_length_b 2.982
_cell_length_c 5.227
_cell_angle_alpha 90.00
_cell_angle_beta 117.33
_cell_angle_gamma 90.00
loop_
_atom_site_label
_atom_site_type_symbol
_atom_site_fract_x
_atom_site_fract_y
_atom_site_fract_z
Ag1 Ag 0.000 0.000 0.000
H1 H 0.360 0.500 0.283
Pt1 Pt 0.246 0.500 0.444
Rh1 Rh 0.488 0.000 0.492
S1 S 0.170 0.000 0.703
```

crystal system = monoclinic
energy relative to the lowest polymorph listed for this composition = 0.046 eV/atom

***

Record 6
Below is AgHPtRhS after structural relaxation, with properties calculated at the PBE-GGA level.

Cell and atoms, written as CIF:
```
data_AgHPtRhS
_space_group_name_H-M_alt 'P 1 m 1'
_space_group_IT_number 6
_space_group_name_Hall 'P -2y'
_cell_length_a 4.742
_cell_length_b 3.251
_cell_length_c 4.905
_cell_angle_alpha 90.00
_cell_angle_beta 111.36
_cell_angle_gamma 90.00
loop_
_atom_site_label
_atom_site_type_symbol
_atom_site_fract_x
_atom_site_fract_y
_atom_site_fract_z
Ag1 Ag 0.000 0.000 0.000
H1 H 0.682 0.000 0.457
Pt1 Pt 0.820 0.500 0.400
Rh1 Rh 0.381 0.000 0.610
S1 S 0.429 0.500 0.940
```

crystal system = monoclinic
energy relative to the lowest polymorph listed for this composition = 0.146 eV/atom

***

Record 7
Below is AgHPtRhS after structural relaxation, with properties calculated at the PBE-GGA level.

Cell and atoms, written as CIF:
```
data_AgHPtRhS
_space_group_name_H-M_alt 'P 1 m 1'
_space_group_IT_number 6
_space_group_name_Hall 'P -2y'
_cell_length_a 3.113
_cell_length_b 3.066
_cell_length_c 7.463
_cell_angle_alpha 90.00
_cell_angle_beta 101.97
_cell_angle_gamma 90.00
loop_
_atom_site_label
_atom_site_type_symbol
_atom_site_fract_x
_atom_site_fract_y
_atom_site_fract_z
Ag1 Ag 0.000 0.000 0.000
H1 H 0.599 0.500 0.213
Pt1 Pt 0.152 0.500 0.321
Rh1 Rh 0.790 0.000 0.591
S1 S 0.353 0.500 0.720
```

crystal system = monoclinic
energy relative to the lowest polymorph listed for this composition = 0.107 eV/atom

***

Record 8
Below is AgHPtRhS after structural relaxation, with properties calculated at the PBE-GGA level.

Cell and atoms, written as CIF:
```
data_AgHPtRhS
_space_group_name_H-M_alt 'C 1 m 1'
_space_group_IT_number 8
_space_group_name_Hall 'C -2y'
_cell_length_a 16.013
_cell_length_b 2.998
_cell_length_c 2.991
_cell_angle_alpha 90.00
_cell_angle_beta 100.61
_cell_angle_gamma 90.00
loop_
_atom_site_label
_atom_site_type_symbol
_atom_site_fract_x
_atom_site_fract_y
_atom_site_fract_z
Ag1 Ag 0.000 0.000 0.000
H1 H 0.356 0.500 0.651
Pt1 Pt 0.371 0.000 0.357
Rh1 Rh 0.230 0.500 0.723
S1 S 0.163 0.000 0.155
```

crystal system = monoclinic
energy relative to the lowest polymorph listed for this composition = 0.074 eV/atom